The following is a PBE calculation of an optimized crystal structure of Y3Zn4Pd4, from Alexandria via LeMat-Bulk.

Lattice parameters (Å, degrees): 8.2234 8.2234 8.2234 151.27 126.88 61.51
Last column: nearest neighbours and their distance in Å.
Positions (direct):
Y1 0.0000 0.0000 0.0000  6 Pd 3.05-3.08
Y2 0.3729 0.8729 0.5000  6 Pd 3.00-3.07, 6 Zn 3.09-3.17
Y3 0.6271 0.1271 0.5000  6 Pd 3.00-3.07, 6 Zn 3.09-3.17
Zn1 0.0235 0.3270 0.6965  4 Pd 2.58-2.72
Zn2 0.3694 0.6730 0.6965  4 Pd 2.58-2.72
Zn3 0.6306 0.3270 0.3035  4 Pd 2.58-2.72
Zn4 0.9765 0.6730 0.3035  4 Pd 2.58-2.72
Pd1 0.2176 0.2176 0.0000  6 Zn 2.58-2.72
Pd2 0.3074 0.5000 0.8074  2 Zn 2.58, 1 Pd 2.83
Pd3 0.6926 0.5000 0.1926  2 Zn 2.58, 1 Pd 2.83
Pd4 0.7824 0.7824 0.0000  6 Zn 2.58-2.72

* energy relative to the lowest polymorph listed for this composition: 0.0 meV/atom
* space-group type: Immm, No. 71
* calculated formation energy: -0.69 eV per atom
* calculated total energy: -4.81 eV/atom